No. 1
The following is a DFT calculation (GGA-PBE) of crystalline CuAuO2 at its relaxed geometry.

Summary:
DFT total energy	-4.6626	eV per atom
DOS at the Fermi energy	0.5723	states/eV per atom
E_form (uncorrected)	-340	meV per atom

Unit cell a=2.838 b=3.417 c=6.167 alpha=97.48 beta=90.00 gamma=114.54
Positions (direct):
Cu1 0.500 0.000 0.000
Au1 0.000 0.000 0.500
O1 0.914 0.828 0.171
O2 0.086 0.172 0.829

***

No. 2
The following is a DFT calculation (GGA-PBE) of crystalline CuAu2O at its relaxed geometry.

Summary:
DFT total energy	-3.4520	eV per atom
DOS at the Fermi energy	0.6148	states/eV per atom
E_form (uncorrected)	450	meV per atom

Unit cell a=3.845 b=3.845 c=9.021 alpha=77.70 beta=77.70 gamma=90.00
Positions (direct):
Au1 0.617 0.125 0.250
Au2 0.133 0.625 0.250
Au3 0.375 0.383 0.750
Au4 0.875 0.867 0.750
O1 0.500 0.500 0.000
O2 0.250 0.750 0.500
Cu1 0.000 0.000 0.000
Cu2 0.750 0.250 0.500

***

No. 3
The following is a DFT calculation (GGA-PBE) of crystalline CuAuO2 at its relaxed geometry.

Summary:
DFT total energy	-4.3455	eV per atom
DOS at the Fermi energy	0.5647	states/eV per atom
E_form (uncorrected)	-23	meV per atom

Unit cell a=5.812 b=5.812 c=5.812 alpha=34.90 beta=34.90 gamma=34.90
Positions (direct):
Au1 0.500 0.500 0.500
O1 0.890 0.890 0.890
O2 0.110 0.110 0.110
Cu1 0.000 0.000 0.000

***

No. 4
The following is a DFT calculation (GGA-PBE) of crystalline CuAuO2 at its relaxed geometry.

Summary:
DFT total energy	-4.6395	eV per atom
DOS at the Fermi energy	0.9699	states/eV per atom
E_form (uncorrected)	-317	meV per atom

Unit cell a=6.379 b=6.379 c=6.379 alpha=27.52 beta=27.52 gamma=27.52
Last column: magnetic moment on the atom in μB.
Positions (direct):
Au1 0.000 0.000 0.000  0.02
O1 0.111 0.111 0.111  0.14
O2 0.889 0.889 0.889  0.14
Cu1 0.500 0.500 0.500  0.38

***

No. 5
The following is a DFT calculation (GGA-PBE) of crystalline CuAu3O at its relaxed geometry.

Summary:
DFT total energy	-3.2316	eV per atom
DOS at the Fermi energy	0.3700	states/eV per atom
energy relative to the lowest polymorph listed for this composition	0.000	eV per atom
E_form (uncorrected)	546	meV per atom

Unit cell a=4.450 b=4.450 c=4.450 alpha=90.00 beta=90.00 gamma=90.00
Positions (direct):
Au1 0.000 0.500 0.000
Au2 0.000 0.000 0.500
Au3 0.500 0.000 0.000
O1 0.000 0.000 0.000
Cu1 0.500 0.500 0.500

***

No. 6
The following is a DFT calculation (GGA-PBE) of crystalline Cu2AuO2 at its relaxed geometry.

Summary:
DFT total energy	-4.5209	eV per atom
DOS at the Fermi energy	0.1482	states/eV per atom
energy relative to the lowest polymorph listed for this composition	0.000	eV per atom
E_form (uncorrected)	-244	meV per atom

Unit cell a=4.090 b=4.090 c=5.264 alpha=112.86 beta=112.86 gamma=90.00
Positions (direct):
Cu1 0.750 0.250 0.500
Cu2 0.250 0.750 0.500
Au1 0.500 0.500 0.000
O1 0.263 0.263 0.527
O2 0.737 0.737 0.473